Fe2PtBr | GGA-PBE | relaxed

The structure in POSCAR format:
```
Fe2PtBr
1.0
-0.9541 -2.4782 2.0361
2.6809 -1.7792 -0.9093
3.3678 2.6314 4.7808
Br Fe Pt
1 2 1
Direct
0.5000 0.5000 0.7500 Br
0.0000 0.0000 0.0688 Fe
0.0000 0.0000 0.4312 Fe
0.5000 0.5000 0.2500 Pt
```

Calculated values
Space-group type   P4/mmm
Energy   -23.51 eV for the cell shown
Calculated density   8.95 Mg/m³
Formation energy without anion corrections   0.282 eV per atom